Entry 1:
Here is an optimized crystal structure of La3Dy2PuSe6 from Alexandria. Energies are from PBE.

Geometry as POSCAR:
```
La3Dy2PuSe6
1.0
-1.395 -7.122 0.108
4.539 2.888 4.872
-6.364 2.519 2.635
La Dy Pu Se
3 2 1 6
direct
0.166 0.834 0.500 La
0.834 0.166 0.500 La
0.500 0.500 0.500 La
0.333 0.667 0.000 Dy
0.667 0.333 0.000 Dy
0.000 0.000 0.000 Pu
0.922 0.585 0.766 Se
0.741 0.741 0.232 Se
0.078 0.415 0.234 Se
0.585 0.922 0.766 Se
0.259 0.259 0.768 Se
0.415 0.078 0.234 Se
```

Summary:
Space-group type: C2/m (12)
E_form (uncorrected): -22.18 eV/f.u.
Theoretical density: 7675 kg/m3

Entry 2:
Here is an optimized crystal structure of La2DyPuSe4 from Alexandria. Energies are from PBE.

Geometry as POSCAR:
```
La2DyPuSe4
1.0
-3.782 0.938 -1.536
-0.798 -6.885 -2.239
-2.615 0.630 6.822
La Dy Pu Se
2 1 1 4
direct
0.500 0.000 0.500 La
0.000 0.500 0.500 La
0.000 0.000 0.000 Dy
0.500 0.500 0.000 Pu
0.500 0.242 0.234 Se
0.500 0.758 0.766 Se
0.000 0.252 0.765 Se
0.000 0.748 0.235 Se
```

Summary:
Space-group type: P2/m (10)
E_form (uncorrected): -14.63 eV/f.u.
Theoretical density: 7858 kg/m3

Entry 3:
Here is an optimized crystal structure of LaDyPu2Se4 from Alexandria. Energies are from PBE.

Geometry as POSCAR:
```
LaDyPu2Se4
1.0
4.158 0.000 0.000
0.000 7.217 0.131
0.000 -2.515 6.803
La Dy Pu Se
1 1 2 4
direct
0.000 0.000 0.000 La
0.500 0.500 0.000 Dy
0.500 0.000 0.500 Pu
0.000 0.500 0.500 Pu
0.500 0.261 0.256 Se
0.500 0.739 0.744 Se
0.000 0.258 0.750 Se
0.000 0.742 0.250 Se
```

Summary:
Space-group type: P2/m (10)
E_form (uncorrected): -13.67 eV/f.u.
Theoretical density: 8932 kg/m3

Entry 4:
Here is an optimized crystal structure of La3DyPu2Se6 from Alexandria. Energies are from PBE.

Geometry as POSCAR:
```
La3DyPu2Se6
1.0
7.282 -0.002 0.001
-3.641 6.307 0.001
-1.214 -2.102 6.937
La Dy Pu Se
3 1 2 6
direct
0.168 0.832 0.500 La
0.832 0.168 0.500 La
0.500 0.500 0.500 La
0.000 0.000 0.000 Dy
0.334 0.666 0.000 Pu
0.666 0.334 0.000 Pu
0.922 0.591 0.765 Se
0.749 0.749 0.237 Se
0.078 0.409 0.235 Se
0.591 0.922 0.765 Se
0.251 0.251 0.763 Se
0.409 0.078 0.235 Se
```

Summary:
Space-group type: C2/m (12)
E_form (uncorrected): -21.71 eV/f.u.
Theoretical density: 8032 kg/m3

Entry 5:
Here is an optimized crystal structure of LaSmDyPu from Alexandria. Energies are from PBE.

Geometry as POSCAR:
```
LaSmDyPu
1.0
5.691 0.000 0.000
2.845 4.928 0.000
2.845 1.643 4.647
Dy La Sm Pu
1 1 1 1
direct
0.500 0.500 0.500 Dy
0.250 0.250 0.250 La
0.750 0.750 0.750 Sm
0.000 0.000 0.000 Pu
```

Summary:
Space-group type: F-43m (216)
Formation energy from the elements: 0.2081 eV per atom
Theoretical density: 8865 kg/m3

Entry 6:
Here is an optimized crystal structure of LaDyPuSn from Alexandria. Energies are from PBE.

Geometry as POSCAR:
```
LaDyPuSn
1.0
5.475 0.000 0.000
2.737 4.741 0.000
2.737 1.580 4.470
Dy La Sn Pu
1 1 1 1
direct
0.000 0.000 0.000 Dy
0.500 0.500 0.500 La
0.250 0.250 0.250 Sn
0.750 0.750 0.750 Pu
```

Summary:
Space-group type: F-43m (216)
Formation energy from the elements: -0.1835 eV per atom
Theoretical density: 9504 kg/m3

Entry 7:
Here is an optimized crystal structure of La3Tb2Dy6Pu from Alexandria. Energies are from PBE.

Geometry as POSCAR:
```
La3Tb2Dy6Pu
1.0
6.217 -0.003 -0.001
-3.110 5.383 -0.001
-1.037 -1.796 11.610
La Tb Dy Pu
3 2 6 1
direct
0.167 0.833 0.500 La
0.833 0.167 0.500 La
0.500 0.500 0.500 La
0.333 0.667 0.000 Tb
0.667 0.333 0.000 Tb
0.919 0.590 0.757 Dy
0.752 0.752 0.243 Dy
0.081 0.410 0.243 Dy
0.590 0.919 0.757 Dy
0.248 0.248 0.757 Dy
0.410 0.081 0.243 Dy
0.000 0.000 0.000 Pu
```

Summary:
Space-group type: C2/m (12)
Formation energy from the elements: 0.0456 eV per atom
Theoretical density: 8352 kg/m3

Entry 8:
Here is an optimized crystal structure of La2Tb3Dy6Pu from Alexandria. Energies are from PBE.

Geometry as POSCAR:
```
La2Tb3Dy6Pu
1.0
-0.834 -2.886 5.404
5.711 0.835 -2.218
-0.973 10.864 4.468
La Tb Dy Pu
2 3 6 1
direct
0.334 0.666 0.000 La
0.666 0.334 0.000 La
0.167 0.833 0.500 Tb
0.833 0.167 0.500 Tb
0.500 0.500 0.500 Tb
0.916 0.588 0.748 Dy
0.755 0.755 0.252 Dy
0.084 0.412 0.252 Dy
0.588 0.916 0.748 Dy
0.245 0.245 0.748 Dy
0.412 0.084 0.252 Dy
0.000 0.000 0.000 Pu
```

Summary:
Space-group type: C2/m (12)
Formation energy from the elements: 0.0470 eV per atom
Theoretical density: 8536 kg/m3

- Among the records above, which one has the lowest theoretical density?
  La3Dy2PuSe6

- What is the theoretical density in the fourth record?
  8032 kg/m3

- Which of these has the lowest theoretical density?
  La3Dy2PuSe6